No. 1
DFT (PBE) results for a relaxed KV2InCl8 crystal.

Cell and atoms, written as CIF:
```
data_KV2InCl8
_chemical_formula_sum 'K3 V6 In3 Cl24'
_cell_length_a 6.9258
_cell_length_b 6.9258
_cell_length_c 27.6893
_cell_angle_alpha 90.00
_cell_angle_beta 90.00
_cell_angle_gamma 120.00
_symmetry_space_group_name_H-M 'R -3'
_symmetry_Int_Tables_number 148
_symmetry_space_group_name_Hall '-R 3'
loop_
_atom_site_label
_atom_site_type_symbol
_atom_site_fract_x
_atom_site_fract_y
_atom_site_fract_z
_atom_site_occupancy
K1 K 0.0000 0.0000 0.0000 1
V1 V 0.0000 0.0000 0.2415 1
In1 In 0.0000 0.0000 0.5000 1
Cl1 Cl 0.0000 0.0000 0.1615 1
Cl2 Cl 0.0002 0.3963 0.0663 1
```

Results
ΔE_f (raw) (eV per atom): -1.24
Magnetic moment (μB/f.u.): 4.0

No. 2
DFT (PBE) results for a relaxed Cs3NaZn2H8 crystal.

Cell and atoms, written as CIF:
```
data_Cs3NaZn2H8
_chemical_formula_sum 'Cs3 Na1 Zn2 H8'
_cell_length_a 6.1553
_cell_length_b 6.1553
_cell_length_c 8.1944
_cell_angle_alpha 90.00
_cell_angle_beta 90.00
_cell_angle_gamma 120.00
_symmetry_space_group_name_H-M 'P -3 m 1'
_symmetry_Int_Tables_number 164
_symmetry_space_group_name_Hall '-P 3 2"'
loop_
_atom_site_label
_atom_site_type_symbol
_atom_site_fract_x
_atom_site_fract_y
_atom_site_fract_z
_atom_site_occupancy
Cs1 Cs 0.0000 0.0000 0.0000 1
Cs2 Cs 0.3333 0.6667 0.6929 1
Na1 Na 0.0000 0.0000 0.5000 1
Zn1 Zn 0.3333 0.6667 0.2578 1
H1 H 0.1853 0.3707 0.3316 1
H2 H 0.3333 0.6667 0.0576 1
```

Results
E (Ha/atom): -0.0958
DOS at the Fermi energy (states/eV/cell): 0.00
Magnetic moment (μB/f.u.): 0.0